PmMgGaBi | PBE | optimized geometry

Geometry as extended XYZ:
```
4
Lattice="0.0000 3.7416 3.7416 3.7416 0.0000 3.7416 3.7416 3.7416 0.0000" Properties=species:S:1:pos:R:3 pbc="T T T"
Pm 0.0000 0.0000 0.0000
Mg 3.7416 3.7416 3.7416
Ga 1.8708 1.8708 1.8708
Bi 5.6124 5.6124 5.6124
```

Results
ρ in Mg/m³: 7.10
E_form in eV/atom: -0.2811



Pm5AlCo2 | PBE | optimized geometry

Geometry as extended XYZ:
```
16
Lattice="-3.8760 3.8760 6.7857 3.8760 -3.8760 6.7857 3.8760 3.8760 -6.7857" Properties=species:S:1:pos:R:3 pbc="T T T"
Pm 0.0000 0.0000 0.0000
Pm 5.1779 1.3019 -1.8558
Pm 1.3019 2.5742 -1.8558
Pm 5.1779 1.3019 1.8558
Pm 1.3019 2.5742 1.8558
Pm 0.0000 0.0000 6.7857
Pm 2.5742 1.3019 4.9299
Pm -1.3019 2.5742 4.9299
Pm 2.5742 1.3019 8.6415
Pm -1.3019 2.5742 8.6415
Al 0.0000 0.0000 3.3929
Al 0.0000 0.0000 10.1786
Co 2.9931 0.8830 0.0000
Co 2.9931 -0.8830 6.7857
Co 0.8830 4.7590 0.0000
Co 0.8830 2.9931 6.7857
```

Results
ρ in Mg/m³: 7.08
E_form in eV/atom: -0.1362



ReBr | PBE | optimized geometry

Geometry as extended XYZ:
```
8
Lattice="8.3345 0.0000 0.0000 0.0000 8.3345 0.0000 0.0000 0.0000 3.0007" Properties=species:S:1:pos:R:3 pbc="T T T"
Re 0.7957 0.7957 0.0000
Re 3.3716 4.9630 1.5003
Re 4.9630 3.3716 1.5003
Re 7.5388 7.5388 0.0000
Br 1.7512 6.5833 0.0000
Br 2.4160 2.4160 1.5003
Br 5.9185 5.9185 1.5003
Br 6.5833 1.7512 0.0000
```

Results
E above lowest polymorph in eV/f.u.: 2.07
ρ in Mg/m³: 8.48
Raw formation energy in eV/atom: 1.268



LaSeI | PBE | optimized geometry

Geometry as extended XYZ:
```
6
Lattice="6.9169 -2.0661 0.0000 6.9169 2.0661 0.0000 -1.4662 0.0000 7.4038" Properties=species:S:1:pos:R:3 pbc="T T T"
La 0.7408 0.0000 2.0959
La 11.6268 0.0000 5.3079
Se 6.9169 0.0000 0.0000
Se 6.1838 0.0000 3.7019
I 2.1754 0.0000 5.3549
I 10.1921 0.0000 2.0488
```

Results
ρ in Mg/m³: 5.41
Raw formation energy in eV/atom: -1.757



Repeat the fourth record exactly.
LaSeI | PBE | optimized geometry

Geometry as extended XYZ:
```
6
Lattice="6.9169 -2.0661 0.0000 6.9169 2.0661 0.0000 -1.4662 0.0000 7.4038" Properties=species:S:1:pos:R:3 pbc="T T T"
La 0.7408 0.0000 2.0959
La 11.6268 0.0000 5.3079
Se 6.9169 0.0000 0.0000
Se 6.1838 0.0000 3.7019
I 2.1754 0.0000 5.3549
I 10.1921 0.0000 2.0488
```

Results
ρ in Mg/m³: 5.41
Raw formation energy in eV/atom: -1.757



Which of these has the highest ρ? ReBr



ρ of number 3 (ReBr)? 8.48 Mg/m³



Copy entry 2 word for word.
Pm5AlCo2 | PBE | optimized geometry

Geometry as extended XYZ:
```
16
Lattice="-3.8760 3.8760 6.7857 3.8760 -3.8760 6.7857 3.8760 3.8760 -6.7857" Properties=species:S:1:pos:R:3 pbc="T T T"
Pm 0.0000 0.0000 0.0000
Pm 5.1779 1.3019 -1.8558
Pm 1.3019 2.5742 -1.8558
Pm 5.1779 1.3019 1.8558
Pm 1.3019 2.5742 1.8558
Pm 0.0000 0.0000 6.7857
Pm 2.5742 1.3019 4.9299
Pm -1.3019 2.5742 4.9299
Pm 2.5742 1.3019 8.6415
Pm -1.3019 2.5742 8.6415
Al 0.0000 0.0000 3.3929
Al 0.0000 0.0000 10.1786
Co 2.9931 0.8830 0.0000
Co 2.9931 -0.8830 6.7857
Co 0.8830 4.7590 0.0000
Co 0.8830 2.9931 6.7857
```

Results
ρ in Mg/m³: 7.08
E_form in eV/atom: -0.1362